DFT (PBE) results for a relaxed structure of LiAgF2.

Values from the calculation:
- Crystal system: hexagonal
- ΔE_f (raw): -7.77 eV/f.u.
- Total magnetic moment: 0.00 μB/f.u.
- Relative energy among the computed polymorphs: 15.7 meV per atom

Cell: 3.0356 3.0356 11.6138 Å, 90.00 90.00 120.00°
Space group P6_3/mmc (No. 194)
Symmetry-distinct sites (fractional):
Li 0.0000 0.0000 0.0000 x2
Ag 0.3333 0.6667 0.2500 x2
F 0.3333 0.6667 0.5952 x4